Arrangement one

## LaTc2C (PBE)

Data for a relaxed structure of LaTc2C.

## Properties
V = 20.22 Å³/atom
mass density = 7.12 g/cm³
space-group type = I-42d, No. 122

Lattice parameters (Å, degrees): 5.9481 5.9481 6.2125 61.40 61.40 90.00
Closest atoms and distances in Å follow each position.
Positions (direct):
C (0.5000, 0.5000, 0.0000)  4 Tc 1.91
C (0.2500, 0.7500, 0.5000)  4 Tc 1.91
Tc (0.4357, 0.1250, 0.2500)  2 C 1.91
Tc (0.3143, 0.6250, 0.2500)  2 C 1.91
Tc (0.3750, 0.5643, 0.7500)  2 C 1.91
Tc (0.8750, 0.6857, 0.7500)  2 C 1.91
La (0.0000, 0.0000, 0.0000)  4 Tc 3.22
La (0.7500, 0.2500, 0.5000)  4 Tc 3.22

Arrangement two

## LaTc2C (PBE)

Data for a relaxed structure of LaTc2C.

## Properties
V = 17.30 Å³/atom
mass density = 8.32 g/cm³
space-group type = Cmcm, No. 63

Lattice parameters (Å, degrees): 3.0551 5.8798 7.9811 90.00 90.00 105.08
Closest atoms and distances in Å follow each position.
Positions (direct):
La (0.9367, 0.8735, 0.2500)  1 C 2.85, 2 La 3.06
La (0.0633, 0.1265, 0.7500)  1 C 2.85, 2 La 3.06
Tc (0.3276, 0.6547, 0.5800)  2 C 2.05
Tc (0.6724, 0.3453, 0.4200)  2 C 2.05
Tc (0.3276, 0.6547, 0.9200)  2 C 2.05
Tc (0.6724, 0.3453, 0.0800)  2 C 2.05
C (0.8120, 0.6242, 0.7500)  4 Tc 2.05
C (0.1880, 0.3758, 0.2500)  4 Tc 2.05

Arrangement three

## LaTc2C (PBE)

Data for a relaxed structure of LaTc2C.

## Properties
V = 15.19 Å³/atom
mass density = 9.48 g/cm³
space-group type = Fm-3m, No. 225

Lattice parameters (Å, degrees): 4.4127 4.4127 4.4127 60.00 60.00 60.00
Closest atoms and distances in Å follow each position.
Positions (direct):
C (0.0000, 0.0000, 0.0000)  8 Tc 2.70
Tc (0.2500, 0.2500, 0.2500)  4 La 2.70, 4 C 2.70
Tc (0.7500, 0.7500, 0.7500)  4 La 2.70, 4 C 2.70
La (0.5000, 0.5000, 0.5000)  8 Tc 2.70

Which is most stable, and by how much? arrangement two, by 0.265 eV/atom.

Arrangement one

## LaTc2C2 (PBE)

Data for a relaxed structure of LaTc2C2.

## Properties
V = 13.96 Å³/atom
mass density = 8.54 g/cm³
space-group type = P4/mbm, No. 127

Lattice parameters (Å, degrees): 6.9894 6.9894 2.8571 90.00 90.00 90.00
Closest atoms and distances in Å follow each position.
Positions (direct):
C (0.1229, 0.6229, 0.5000)  4 Tc 2.25, 1 C 2.43
C (0.6229, 0.8771, 0.5000)  4 Tc 2.25, 1 C 2.43
C (0.8771, 0.3771, 0.5000)  4 Tc 2.25, 1 C 2.43
C (0.3771, 0.1229, 0.5000)  4 Tc 2.25, 1 C 2.43
Tc (0.3742, 0.8742, 0.0000)  4 C 2.25, 1 Tc 2.49
Tc (0.8742, 0.6258, 0.0000)  4 C 2.25, 1 Tc 2.49
Tc (0.6258, 0.1258, 0.0000)  4 C 2.25, 1 Tc 2.49
Tc (0.1258, 0.3742, 0.0000)  4 C 2.25, 1 Tc 2.49
La (0.0000, 0.0000, 0.0000)  4 Tc 2.76, 2 La 2.86
La (0.5000, 0.5000, 0.0000)  4 Tc 2.76, 2 La 2.86

Arrangement two

## LaTc2C2 (PBE)

Data for a relaxed structure of LaTc2C2.

## Properties
V = 14.63 Å³/atom
mass density = 8.15 g/cm³
space-group type = Fddd, No. 70

Lattice parameters (Å, degrees): 5.6104 5.6104 5.8949 109.78 109.78 106.75
Closest atoms and distances in Å follow each position.
Positions (direct):
La (0.8750, 0.6250, 0.7500)  6 C 2.83-3.01, 4 Tc 3.00
La (0.1250, 0.3750, 0.2500)  6 C 2.83-3.01, 4 Tc 3.00
Tc (0.2358, 0.9857, 0.4717)  4 C 2.07-2.15
Tc (0.4857, 0.7358, 0.9717)  4 C 2.07-2.15
Tc (0.7642, 0.0143, 0.5283)  4 C 2.07-2.15
Tc (0.5143, 0.2642, 0.0283)  4 C 2.07-2.15
C (0.1897, 0.3103, 0.7500)  4 Tc 2.07-2.15
C (0.4395, 0.0605, 0.2500)  4 Tc 2.07-2.15
C (0.5605, 0.9395, 0.7500)  4 Tc 2.07-2.15
C (0.8103, 0.6897, 0.2500)  4 Tc 2.07-2.15

Which is most stable, and by how much? arrangement two, by 1.269 eV/atom.

Arrangement one

## LaTc3C (PBE)

Data for a relaxed structure of LaTc3C.

## Properties
V = 21.24 Å³/atom
mass density = 6.96 g/cm³
space-group type = Pm-3m, No. 221

Lattice parameters (Å, degrees): 4.7355 4.7355 4.7355 90.00 90.00 90.00
Closest atoms and distances in Å follow each position.
Positions (direct):
C (0.5000, 0.5000, 0.5000)  12 Tc 3.35
Tc (0.0000, 0.5000, 0.0000)  2 La 2.37
Tc (0.0000, 0.0000, 0.5000)  2 La 2.37
Tc (0.5000, 0.0000, 0.0000)  2 La 2.37
La (0.0000, 0.0000, 0.0000)  6 Tc 2.37

Arrangement two

## LaTc3C (PBE)

Data for a relaxed structure of LaTc3C.

## Properties
V = 15.72 Å³/atom
mass density = 9.40 g/cm³
space-group type = Pm-3m, No. 221

Lattice parameters (Å, degrees): 4.2832 4.2832 4.2832 90.00 90.00 90.00
Closest atoms and distances in Å follow each position.
Positions (direct):
C (0.0000, 0.0000, 0.0000)  6 Tc 2.14
Tc (0.0000, 0.5000, 0.0000)  2 C 2.14
Tc (0.0000, 0.0000, 0.5000)  2 C 2.14
Tc (0.5000, 0.0000, 0.0000)  2 C 2.14
La (0.5000, 0.5000, 0.5000)  12 Tc 3.03

Which is most stable, and by how much? arrangement two, by 3.224 eV/atom.

Arrangement one

## LaTcC (PBE)

Data for a relaxed structure of LaTcC.

## Properties
V = 17.38 Å³/atom
mass density = 7.93 g/cm³
space-group type = P-6m2, No. 187

Lattice parameters (Å, degrees): 4.7721 3.5524 3.5524 120.00 90.00 90.00
Closest atoms and distances in Å follow each position.
Positions (direct):
C (0.1671, 0.0000, 0.0000)  3 Tc 2.05
Tc (0.1667, 0.3333, 0.6667)  3 C 2.05
La (0.6662, 0.6667, 0.3333)  6 C 3.14-3.15, 6 Tc 3.14-3.15

Arrangement two

## LaTcC (PBE)

Data for a relaxed structure of LaTcC.

## Properties
V = 18.05 Å³/atom
mass density = 7.63 g/cm³
space-group type = C2/c, No. 15

Lattice parameters (Å, degrees): 6.6903 6.6903 9.0427 92.93 92.93 126.09
Closest atoms and distances in Å follow each position.
Positions (direct):
C (0.3267, 0.6733, 0.7500)  2 C 1.45
C (0.6733, 0.3267, 0.2500)  2 C 1.45
C (0.1747, 0.6140, 0.8727)  1 C 1.45
C (0.3860, 0.8253, 0.6273)  1 C 1.45
C (0.8253, 0.3860, 0.1273)  1 C 1.45
C (0.6140, 0.1747, 0.3727)  1 C 1.45
La (0.8602, 0.1398, 0.7500)  2 C 2.69
La (0.1398, 0.8602, 0.2500)  2 C 2.69
La (0.3380, 0.1084, 0.9321)  2 Tc 2.77-2.96, 2 C 2.81-3.02
La (0.8916, 0.6620, 0.5679)  2 Tc 2.77-2.96, 2 C 2.81-3.02
La (0.6620, 0.8916, 0.0679)  2 Tc 2.77-2.96, 2 C 2.81-3.02
La (0.1084, 0.3380, 0.4321)  2 Tc 2.77-2.96, 2 C 2.81-3.02
Tc (0.5110, 0.4890, 0.7500)  1 C 2.20
Tc (0.4890, 0.5110, 0.2500)  1 C 2.20
Tc (0.8551, 0.5611, 0.9350)  2 C 2.07-2.10
Tc (0.4389, 0.1449, 0.5650)  2 C 2.07-2.10
Tc (0.1449, 0.4389, 0.0650)  2 C 2.07-2.10
Tc (0.5611, 0.8551, 0.4350)  2 C 2.07-2.10

Which is most stable, and by how much? arrangement one, by 0.093 eV/atom.

Arrangement one

## La3TeC (PBE)

Data for a relaxed structure of La3TeC.

## Properties
V = 27.66 Å³/atom
mass density = 6.68 g/cm³
space-group type = Pm-3m, No. 221

Lattice parameters (Å, degrees): 5.1715 5.1715 5.1715 90.00 90.00 90.00
Closest atoms and distances in Å follow each position.
Positions (direct):
C (0.0000, 0.0000, 0.0000)  6 La 2.59
Te (0.5000, 0.5000, 0.5000)  12 La 3.66
La (0.0000, 0.5000, 0.0000)  2 C 2.59
La (0.0000, 0.0000, 0.5000)  2 C 2.59
La (0.5000, 0.0000, 0.0000)  2 C 2.59

Arrangement two

## La3TeC (PBE)

Data for a relaxed structure of La3TeC.

## Properties
V = 27.83 Å³/atom
mass density = 6.64 g/cm³
space-group type = Pnma, No. 62

Lattice parameters (Å, degrees): 4.0903 8.9478 15.2060 90.00 90.00 90.00
Closest atoms and distances in Å follow each position.
Positions (direct):
La (0.7500, 0.2126, 0.2986)  1 C 2.47
La (0.2500, 0.6801, 0.9950)  2 C 2.65
La (0.2500, 0.0253, 0.0996)  3 C 2.67-2.73
La (0.2500, 0.5253, 0.4004)  3 C 2.67-2.73
La (0.2500, 0.1801, 0.5050)  2 C 2.65
La (0.7500, 0.4747, 0.5996)  3 C 2.67-2.73
La (0.2500, 0.2874, 0.7986)  1 C 2.47
La (0.7500, 0.9747, 0.9004)  3 C 2.67-2.73
La (0.7500, 0.3199, 0.0050)  2 C 2.65
La (0.7500, 0.7126, 0.2014)  1 C 2.47
La (0.7500, 0.8199, 0.4950)  2 C 2.65
La (0.2500, 0.7874, 0.7014)  1 C 2.47
Te (0.2500, 0.9202, 0.3258)  9 La 3.35-3.71
Te (0.7500, 0.0798, 0.6742)  9 La 3.35-3.71
Te (0.7500, 0.5798, 0.8258)  9 La 3.35-3.71
Te (0.2500, 0.4202, 0.1742)  9 La 3.35-3.71
C (0.2500, 0.6631, 0.5564)  6 La 2.47-2.73
C (0.7500, 0.3369, 0.4436)  6 La 2.47-2.73
C (0.7500, 0.8369, 0.0564)  6 La 2.47-2.73
C (0.2500, 0.1631, 0.9436)  6 La 2.47-2.73

Which is most stable, and by how much? arrangement two, by 0.146 eV/atom.

Arrangement one

## LaTeC3 (PBE)

Data for a relaxed structure of LaTeC3.

## Properties
V = 18.98 Å³/atom
mass density = 5.29 g/cm³
space-group type = Pm-3m, No. 221

Lattice parameters (Å, degrees): 4.5616 4.5616 4.5616 90.00 90.00 90.00
Closest atoms and distances in Å follow each position.
Positions (direct):
C (0.0000, 0.5000, 0.0000)  2 La 2.28
C (0.0000, 0.0000, 0.5000)  2 La 2.28
C (0.5000, 0.0000, 0.0000)  2 La 2.28
Te (0.5000, 0.5000, 0.5000)  12 C 3.23
La (0.0000, 0.0000, 0.0000)  6 C 2.28

Arrangement two

## LaTeC3 (PBE)

Data for a relaxed structure of LaTeC3.

## Properties
V = 15.20 Å³/atom
mass density = 6.61 g/cm³
space-group type = Pm-3m, No. 221

Lattice parameters (Å, degrees): 4.2355 4.2355 4.2355 90.00 90.00 90.00
Closest atoms and distances in Å follow each position.
Positions (direct):
C (0.0000, 0.5000, 0.0000)  2 Te 2.12
C (0.0000, 0.0000, 0.5000)  2 Te 2.12
C (0.5000, 0.0000, 0.0000)  2 Te 2.12
Te (0.0000, 0.0000, 0.0000)  6 C 2.12
La (0.5000, 0.5000, 0.5000)  12 C 2.99

Which is most stable, and by how much? arrangement two, by 1.082 eV/atom.